[1]
The following is a DFT calculation (PBE) of NdDy3Er2S6 after structural relaxation.

Structure (CIF):
```
data_NdDy3Er2S6
_chemical_formula_sum 'Nd2 Dy6 Er4 S12'
_cell_length_a 6.780
_cell_length_b 11.787
_cell_length_c 6.781
_cell_angle_alpha 90.00
_cell_angle_beta 109.52
_cell_angle_gamma 90.00
_space_group_name_H-M_alt 'C 1 2/m 1'
_space_group_IT_number 12
loop_
_space_group_symop_operation_xyz
'x,y,z'
'-x,-y,-z'
'-x,y,-z'
'x,-y,z'
'x+1/2,y+1/2,z'
'-x+1/2,-y+1/2,-z'
'-x+1/2,y+1/2,-z'
'x+1/2,-y+1/2,z'
loop_
_atom_site_label
_atom_site_type_symbol
_atom_site_fract_x
_atom_site_fract_y
_atom_site_fract_z
Nd1 Nd 0.000 0.000 0.000
Dy1 Dy 0.000 0.161 0.500
Dy2 Dy 0.000 0.500 0.500
Er1 Er 0.000 0.334 0.000
S1 S 0.238 0.500 0.249
S2 S 0.243 0.327 0.747
```

Results
Formation energy from raw total energies = -23.83 eV/f.u.



[2]
The following is a DFT calculation (PBE) of SnGeTeSe after structural relaxation.

Structure (CIF):
```
data_SnGeTeSe
_chemical_formula_sum 'Sn1 Ge1 Te1 Se1'
_cell_length_a 4.084
_cell_length_b 4.085
_cell_length_c 8.821
_cell_angle_alpha 90.01
_cell_angle_beta 103.32
_cell_angle_gamma 119.94
_space_group_name_H-M_alt 'P 1'
_space_group_IT_number 1
loop_
_space_group_symop_operation_xyz
'x,y,z'
loop_
_atom_site_label
_atom_site_type_symbol
_atom_site_fract_x
_atom_site_fract_y
_atom_site_fract_z
Sn1 Sn 0.000 0.000 0.000
Ge1 Ge 0.653 0.827 0.479
Te1 Te 0.107 0.553 0.660
Se1 Se 0.785 0.393 0.179
```

Results
Formation energy from raw total energies = -0.82 eV/f.u.